# Mg2AlTl, optimized geometry, DFT GGA-PBE
data_Mg2AlTl
_chemical_formula_sum 'Mg2 Al1 Tl1'
_symmetry_space_group_name_H-M 'P 1'
_symmetry_Int_Tables_number 1
_cell_length_a 3.1878
_cell_length_b 3.1878
_cell_length_c 8.6920
_cell_angle_alpha 90.00
_cell_angle_beta 90.00
_cell_angle_gamma 90.00
loop_
_symmetry_equiv_pos_as_xyz
'x,y,z'
loop_
_atom_site_label
_atom_site_fract_x
_atom_site_fract_y
_atom_site_fract_z
Mg1 0.0000 0.0000 0.9831
Mg2 0.0000 0.0000 0.5169
Tl1 0.5000 0.5000 0.2500
Al1 0.5000 0.5000 0.7500
# Size of the total moment, μB/atom: 0.000
# DOS at the Fermi energy, states/eV/atom: 0.403
# DFT formation energy, eV per formula unit: 0.1
# Raw total energy, eV per atom: -2.300